Record 1
Computed, not measured: an optimized crystal structure of DySeCl at the PBE-GGA level of DFT.

Results
energy = -5.30 eV per atom
formation energy without anion corrections = -1986 meV per atom
total magnetization = 0.000 μB/cell
DOS(E_F) = 0.00 states/eV/cell

Lattice parameters (Å, degrees): 4.0856 4.0856 6.7407 90.00 90.00 120.00
Last column: nearest neighbours and their distance in Å.
Space group P3m1 (No. 156)
One atom of each set of equivalent atoms:
Dy  0.0000  0.0000  0.0000  3 Se 2.77, 3 Cl 2.84
Se  0.3333  0.6667  0.7852  3 Dy 2.77
Cl  0.6667  0.3333  0.2340  3 Dy 2.84


Record 2
Computed, not measured: an optimized crystal structure of K2NdErTe4 at the PBE-GGA level of DFT.

Results
energy = -4.41 eV per atom
formation energy without anion corrections = -1396 meV per atom
total magnetization = 0.000 μB/cell

Lattice parameters (Å, degrees): 7.8734 4.5437 8.6577 90.00 107.62 90.00
Last column: nearest neighbours and their distance in Å.
Space group P2/m (No. 10)
One atom of each set of equivalent atoms:
K  0.0000  0.0000  0.0000  6 Te 3.58-3.59
K  0.5000  0.5000  0.0000  6 Te 3.51
Nd  0.0000  0.5000  0.5000  6 Te 3.18-3.19
Er  0.5000  0.0000  0.5000  6 Te 3.10-3.11
Te  0.2460  0.0000  0.7127  1 Er 3.10, 2 Nd 3.18
Te  0.2721  0.5000  0.2915  2 Er 3.11, 1 Nd 3.19


Record 3
Computed, not measured: an optimized crystal structure of Sr3TlPt3 at the PBE-GGA level of DFT.

Results
energy = -4.35 eV per atom
total magnetization = 0.000 μB/cell
formation energy from the elements = -0.71 eV per atom
DOS(E_F) = 10.19 states/eV/cell

Lattice parameters (Å, degrees): 11.8192 4.4517 15.2733 90.00 109.80 90.00
Last column: nearest neighbours and their distance in Å.
Space group C2/m (No. 12)
One atom of each set of equivalent atoms:
Sr  0.0112  0.0000  0.3737  6 Pt 3.20-3.31, 3 Tl 3.33-3.48
Sr  0.1076  0.0000  0.9264  7 Pt 3.20-3.40
Sr  0.2334  0.0000  0.2190  6 Pt 3.12-3.47
Tl  0.2299  0.5000  0.4004  4 Pt 2.81-2.89
Pt  0.0292  0.5000  0.2284  1 Pt 2.77, 1 Tl 2.88
Pt  0.1058  0.5000  0.0761  2 Pt 2.77-2.78
Pt  0.1183  0.5000  0.5422  1 Pt 2.65, 3 Tl 2.81-2.89


Record 4
Computed, not measured: an optimized crystal structure of Ta2HgRu at the PBE-GGA level of DFT.

Results
energy = -8.23 eV per atom
total magnetization = 0.000 μB/cell
formation energy from the elements = 0.10 eV per atom
DOS(E_F) = 2.69 states/eV/cell

Lattice parameters (Å, degrees): 2.9961 4.0407 5.7662 90.00 90.00 90.00
Last column: nearest neighbours and their distance in Å.
Space group Pmmm (No. 47)
One atom of each set of equivalent atoms:
Ta  0.0000  0.0000  0.2287  1 Ta 2.64, 4 Ru 2.84
Hg  0.5000  0.5000  0.5000  2 Ru 2.88, 8 Ta 2.96, 2 Hg 3.00
Ru  0.5000  0.5000  0.0000  8 Ta 2.84, 2 Hg 2.88, 2 Ru 3.00


Record 5
Computed, not measured: an optimized crystal structure of TlSnPb2Br at the PBE-GGA level of DFT.

Results
energy = -3.28 eV per atom
formation energy without anion corrections = -184 meV per atom
total magnetization = 0.000 μB/cell
DOS(E_F) = 2.59 states/eV/cell
offset from the most stable computed form = 0.17 eV/f.u.

Lattice parameters (Å, degrees): 4.6753 4.6753 28.2140 90.00 90.00 120.00
Last column: nearest neighbours and their distance in Å.
Space group R3m (No. 160, hexagonal axes)
One atom of each set of equivalent atoms:
Tl  0.0000  0.0000  0.0000  3 Br 3.31, 3 Pb 3.59
Sn  0.0000  0.0000  0.8654  6 Pb 3.05-3.13
Pb  0.0000  0.0000  0.1423  3 Sn 3.13, 3 Br 3.42
Pb  0.0000  0.0000  0.5825  3 Sn 3.05
Br  0.0000  0.0000  0.4011  3 Tl 3.31, 3 Pb 3.42


Record 6
Computed, not measured: an optimized crystal structure of YHf2Zr2 at the PBE-GGA level of DFT.

Results
energy = -8.58 eV per atom
total magnetization = 0.000 μB/cell
formation energy from the elements = 0.12 eV per atom
DOS(E_F) = 14.60 states/eV/cell
offset from the most stable computed form = 0.00 eV/f.u.

Lattice parameters (Å, degrees): 8.4135 8.4135 3.5306 90.00 90.00 90.00
Last column: nearest neighbours and their distance in Å.
Space group P4/mbm (No. 127)
One atom of each set of equivalent atoms:
Y  0.0000  0.0000  0.0000  4 Hf 3.32, 2 Y 3.53, 8 Zr 3.60
Hf  0.1264  0.3736  0.0000  1 Hf 3.01, 6 Zr 3.04, 2 Y 3.32
Zr  0.1655  0.6655  0.5000  6 Hf 3.04


Record 7
Computed, not measured: an optimized crystal structure of KCdC2Br at the PBE-GGA level of DFT.

Results
energy = -2.78 eV per atom
formation energy without anion corrections = 1646 meV per atom
total magnetization = 3.253 μB/cell
DOS(E_F) = 1.48 states/eV/cell
offset from the most stable computed form = 0.00 eV/f.u.

Lattice parameters (Å, degrees): 4.4465 4.4465 9.8658 90.00 90.00 90.00
Last column: nearest neighbours and their distance in Å.
Space group P4/mmm (No. 123)
One atom of each set of equivalent atoms:
K  0.0000  0.0000  0.0000  4 Br 3.14
Cd  0.0000  0.0000  0.5000  4 C 2.22
C  0.0000  0.5000  0.5000  2 Cd 2.22
Br  0.5000  0.5000  0.0000  4 K 3.14


Record 8
Computed, not measured: an optimized crystal structure of Li4Sn5 at the PBE-GGA level of DFT.

Results
energy = -3.30 eV per atom
total magnetization = 0.000 μB/cell
formation energy from the elements = -0.23 eV per atom
DOS(E_F) = 7.11 states/eV/cell
offset from the most stable computed form = 0.13 eV/f.u.

Lattice parameters (Å, degrees): 10.6158 9.3703 4.5079 90.00 114.89 90.00
Last column: nearest neighbours and their distance in Å.
Space group C2/m (No. 12)
One atom of each set of equivalent atoms:
Li  0.1641  0.1669  0.1644  8 Sn 3.12-3.24, 4 Li 3.13-3.20
Sn  0.0000  0.0000  0.5000  4 Sn 3.07-3.10, 8 Li 3.16-3.17
Sn  0.0000  0.3279  0.5000  6 Sn 3.07-3.26, 6 Li 3.13-3.24
Sn  0.1779  0.5000  0.1767  6 Sn 3.10-3.43, 6 Li 3.12-3.14